No. 1
## BeTeIrI2 (GGA-PBEsol)

Data for crystalline BeTeIrI2 at its relaxed geometry.

Lattice parameters (Å, degrees): 4.8252 4.8252 4.8966 90.00 90.00 90.00
Each line ends with the local moment (μB).
Fractional positions:
I 0.0000 0.5000 0.0000  0.05
I 0.5000 0.0000 0.0000  0.05
Be 0.0000 0.0000 0.0000  0.00
Ir 0.5000 0.5000 0.5000  0.48
Te 0.0000 0.0000 0.5000  0.00

Output
* space group: P4/mmm (123)

---

No. 2
## KBeTe2I (GGA-PBEsol)

Data for crystalline KBeTe2I at its relaxed geometry.

Lattice parameters (Å, degrees): 6.2188 6.3308 6.3308 90.00 90.00 90.00
Each line ends with the local moment (μB).
Fractional positions:
I 0.5000 0.0000 0.0000  0.24
Be 0.5000 0.5000 0.5000  0.16
K 0.0000 0.0000 0.0000  0.02
Te 0.0000 0.0000 0.5000  0.84
Te 0.0000 0.5000 0.0000  0.84

Output
* space group: P4/mmm (123)

---

No. 3
## LaBeTe2I (GGA-PBEsol)

Data for crystalline LaBeTe2I at its relaxed geometry.

Lattice parameters (Å, degrees): 5.0899 5.1521 5.1521 90.00 90.00 90.00
Fractional positions:
I 0.5000 0.0000 0.0000
Be 0.0000 0.0000 0.0000
Te 0.0000 0.0000 0.5000
Te 0.0000 0.5000 0.0000
La 0.5000 0.5000 0.5000

Output
* space group: P4/mmm (123)
* relative energy among the computed polymorphs: 0 meV/atom

---

| no. | formation energy without anion corrections (eV/atom) |
| --- | --- |
| 1 | 1.14 |
| 2 | 1.18 |
| 3 | -0.56 |